## AgPt4Pb (PBEsol)

Data for AgPt4Pb after structural relaxation.

Properties
Volume: 106 Å³/f.u.
ΔH_f (0 K): -0.02 eV/atom
Raw total energy: -5.88 eV/atom

Cell lengths 7.517, 7.517, 7.517 Å; angles 90.00, 90.00, 90.00 degrees
Space group F-43m (No. 216)
One atom of each set of equivalent atoms:
Ag  0.000  0.000  0.000 x4
Pt  0.125  0.125  0.375 x16
Pb  0.250  0.250  0.750 x4



## Ta2Tl (PBEsol)

Data for Ta2Tl after structural relaxation.

Properties
Volume: 57 Å³/f.u.
ΔH_f (0 K): 0.55 eV/atom
Raw total energy: -8.69 eV/atom

Cell lengths 4.8091, 4.8091, 2.8693 Å; angles 90.00, 90.00, 120.00 degrees
Space group P6/mmm (No. 191)
One atom of each set of equivalent atoms:
Ta  0.3333  0.6667  0.0000 x2
Tl  0.0000  0.0000  0.5000 x1



Number 1 is which compound?
AgPt4Pb